# 1
{
  "formula": "AcEr2OsO8",
  "functional": "GGA-PBE",
  "state": "optimized geometry",
  "final_energy_ev_per_atom": -7.857,
  "sg": "P2/m, No. 10",
  "dos_at_fermi_per_ev_fu": 4.33,
  "lattice_angstrom": [[-2.898, 1.331, -3.960], [1.724, -3.903, -2.763], [-5.191, -4.024, 2.447]],
  "species": ["Ac", "Er", "Er", "Os", "O", "O", "O", "O", "O", "O", "O", "O"],
  "frac_coords": [[0.000, 0.000, 0.500], [0.500, 0.500, 0.747], [0.500, 0.500, 0.253], [0.000, 0.000, 0.000], [0.189, 0.809, 0.196], [0.739, 0.740, 0.000], [0.811, 0.190, 0.196], [0.811, 0.191, 0.804], [0.261, 0.260, 0.000], [0.189, 0.810, 0.804], [0.675, 0.677, 0.500], [0.325, 0.323, 0.500]]
}

---

# 2
{
  "formula": "VGaW3",
  "functional": "GGA-PBE",
  "state": "optimized geometry",
  "final_energy_ev_per_atom": -8.322,
  "polymorph_energy_ev_per_atom": 0.238,
  "sg": "Pm-3m, No. 221",
  "dos_at_fermi_per_ev_fu": 5.60,
  "delta_e_f_ev_per_fu": 9.4,
  "lattice_angstrom": [[-1.159, -2.863, -3.355], [-2.880, -2.136, 2.818], [-3.341, 2.834, -1.266]],
  "species": ["W", "W", "W", "Ga", "V"],
  "frac_coords": [[0.000, 0.500, 0.000], [0.000, 0.000, 0.500], [0.500, 0.000, 0.000], [0.000, 0.000, 0.000], [0.500, 0.500, 0.500]]
}

---

# 3
{
  "formula": "Nd5Ho2Ga4",
  "functional": "GGA-PBE",
  "state": "optimized geometry",
  "final_energy_ev_per_atom": -4.245,
  "sg": "C2/m, No. 12",
  "dos_at_fermi_per_ev_fu": 11.95,
  "delta_e_f_ev_per_fu": -1.6,
  "lattice_angstrom": [[3.584, 0.000, 0.000], [0.000, 7.946, -0.446], [-1.792, -3.074, 11.093]],
  "species": ["Nd", "Nd", "Nd", "Nd", "Nd", "Ho", "Ho", "Ga", "Ga", "Ga", "Ga"],
  "frac_coords": [[0.146, 0.911, 0.293], [0.854, 0.089, 0.707], [0.129, 0.324, 0.258], [0.500, 0.000, 0.000], [0.871, 0.676, 0.742], [0.724, 0.667, 0.449], [0.276, 0.333, 0.551], [0.580, 0.575, 0.160], [0.005, 0.675, 0.011], [0.420, 0.425, 0.840], [0.995, 0.325, 0.989]]
}

---

# 4
{
  "formula": "AgHgTe2",
  "functional": "GGA-PBE",
  "state": "optimized geometry",
  "final_energy_ev_per_atom": -2.405,
  "sg": "I-42d, No. 122",
  "dos_at_fermi_per_ev_fu": 3.75,
  "lattice_angstrom": [[6.510, 0.000, 0.000], [0.000, 6.510, 0.000], [3.255, 3.255, 6.420]],
  "species": ["Te", "Te", "Te", "Te", "Hg", "Hg", "Ag", "Ag"],
  "frac_coords": [[0.612, 0.125, 0.250], [0.138, 0.625, 0.250], [0.375, 0.388, 0.750], [0.875, 0.862, 0.750], [0.000, 0.000, 0.000], [0.750, 0.250, 0.500], [0.500, 0.500, 0.000], [0.250, 0.750, 0.500]]
}

---

# 5
{
  "formula": "Ho3Mg5Rh2",
  "functional": "GGA-PBE",
  "state": "optimized geometry",
  "final_energy_ev_per_atom": -3.938,
  "sg": "Ibam, No. 72",
  "dos_at_fermi_per_ev_fu": 6.59,
  "delta_e_f_ev_per_fu": -3.0,
  "lattice_angstrom": [[-4.026, -3.955, -2.287], [4.502, -5.884, -5.857], [1.562, -8.492, 3.828]],
  "species": ["Ho", "Ho", "Ho", "Ho", "Ho", "Ho", "Mg", "Mg", "Mg", "Mg", "Mg", "Mg", "Mg", "Mg", "Mg", "Mg", "Rh", "Rh", "Rh", "Rh"],
  "frac_coords": [[0.250, 0.000, 0.000], [0.750, 0.000, 0.000], [0.326, 0.381, 0.966], [0.674, 0.619, 0.034], [0.826, 0.966, 0.381], [0.174, 0.034, 0.619], [0.250, 0.500, 0.500], [0.750, 0.500, 0.500], [0.555, 0.695, 0.695], [0.945, 0.305, 0.305], [0.445, 0.305, 0.305], [0.055, 0.695, 0.695], [0.072, 0.651, 0.205], [0.928, 0.349, 0.795], [0.572, 0.205, 0.651], [0.428, 0.795, 0.349], [0.162, 0.777, 0.900], [0.838, 0.223, 0.100], [0.662, 0.900, 0.777], [0.338, 0.100, 0.223]]
}

---

# 6
{
  "formula": "SiGe2SeS",
  "functional": "GGA-PBE",
  "state": "optimized geometry",
  "final_energy_ev_per_atom": -3.521,
  "sg": "P4/mmm, No. 123",
  "dos_at_fermi_per_ev_fu": 3.16,
  "lattice_angstrom": [[5.139, 0.000, 0.000], [0.000, 4.716, 0.000], [0.000, 0.000, 5.139]],
  "species": ["Ge", "Ge", "Si", "S", "Se"],
  "frac_coords": [[0.000, 0.000, 0.500], [0.500, 0.000, 0.000], [0.500, 0.500, 0.500], [0.000, 0.500, 0.000], [0.000, 0.000, 0.000]]
}

---

# 7
{
  "formula": "LiTh2ReN5",
  "functional": "GGA-PBE",
  "state": "optimized geometry",
  "final_energy_ev_per_atom": -8.501,
  "sg": "P4/mbm, No. 127",
  "dos_at_fermi_per_ev_fu": 7.21,
  "lattice_angstrom": [[5.777, 0.000, 0.000], [0.000, 6.967, 0.000], [0.000, 0.000, 6.967]],
  "species": ["Li", "Li", "Th", "Th", "Th", "Th", "Re", "Re", "N", "N", "N", "N", "N", "N", "N", "N", "N", "N"],
  "frac_coords": [[0.000, 0.500, 0.500], [0.000, 0.000, 0.000], [0.500, 0.679, 0.179], [0.500, 0.179, 0.321], [0.500, 0.821, 0.679], [0.500, 0.321, 0.821], [0.000, 0.000, 0.500], [0.000, 0.500, 0.000], [0.500, 0.500, 0.500], [0.500, 0.000, 0.000], [0.240, 0.134, 0.634], [0.240, 0.866, 0.366], [0.240, 0.366, 0.134], [0.240, 0.634, 0.866], [0.760, 0.134, 0.634], [0.760, 0.634, 0.866], [0.760, 0.866, 0.366], [0.760, 0.366, 0.134]]
}

---

# 8
{
  "formula": "Sm2HfUN4",
  "functional": "GGA-PBE",
  "state": "optimized geometry",
  "final_energy_ev_per_atom": -9.568,
  "sg": "P2/m, No. 10",
  "dos_at_fermi_per_ev_fu": 3.61,
  "lattice_angstrom": [[3.421, 0.000, 0.000], [0.000, 5.882, 0.119], [0.000, -2.041, 5.657]],
  "species": ["Sm", "Sm", "Hf", "U", "N", "N", "N", "N"],
  "frac_coords": [[0.500, 0.000, 0.500], [0.000, 0.500, 0.500], [0.000, 0.000, 0.000], [0.500, 0.500, 0.000], [0.500, 0.237, 0.209], [0.500, 0.763, 0.791], [0.000, 0.257, 0.787], [0.000, 0.743, 0.213]]
}

---

# 9
{
  "formula": "TlCd2",
  "functional": "GGA-PBE",
  "state": "optimized geometry",
  "final_energy_ev_per_atom": -1.352,
  "sg": "P-3m1, No. 164",
  "dos_at_fermi_per_ev_fu": 0.50,
  "delta_e_f_ev_per_fu": 0.1,
  "lattice_angstrom": [[3.300, 0.000, 0.000], [-1.650, 2.858, 0.000], [0.000, 0.000, 8.161]],
  "species": ["Tl", "Cd", "Cd"],
  "frac_coords": [[0.000, 0.000, 0.000], [0.333, 0.667, 0.654], [0.667, 0.333, 0.346]]
}

---

# 10
{
  "formula": "Tl2CuIr",
  "functional": "GGA-PBE",
  "state": "optimized geometry",
  "final_energy_ev_per_atom": -3.892,
  "polymorph_energy_ev_per_atom": 0.195,
  "sg": "C2/m, No. 12",
  "dos_at_fermi_per_ev_fu": 1.74,
  "delta_e_f_ev_per_fu": 2.1,
  "lattice_angstrom": [[4.734, 0.002, -0.017], [3.627, 3.043, -0.017], [0.969, 0.353, 5.367]],
  "species": ["Cu", "Ir", "Tl", "Tl"],
  "frac_coords": [[0.750, 0.750, 0.750], [0.250, 0.250, 0.250], [0.999, 0.999, 0.001], [0.501, 0.501, 0.499]]
}

---

# 11
{
  "formula": "Mg9Tl4Pb11",
  "functional": "GGA-PBE",
  "state": "optimized geometry",
  "final_energy_ev_per_atom": -2.717,
  "sg": "Cmmm, No. 65",
  "dos_at_fermi_per_ev_fu": 9.27,
  "delta_e_f_ev_per_fu": -0.6,
  "lattice_angstrom": [[3.501, 0.000, 0.000], [0.000, 13.315, -3.941], [0.000, 1.609, 13.793]],
  "species": ["Mg", "Mg", "Mg", "Mg", "Mg", "Mg", "Mg", "Mg", "Mg", "Tl", "Tl", "Tl", "Tl", "Pb", "Pb", "Pb", "Pb", "Pb", "Pb", "Pb", "Pb", "Pb", "Pb", "Pb"],
  "frac_coords": [[0.500, 0.605, 0.145], [0.500, 0.395, 0.855], [0.500, 0.145, 0.605], [0.500, 0.855, 0.395], [0.500, 0.800, 0.999], [0.500, 0.200, 0.001], [0.500, 0.999, 0.800], [0.500, 0.001, 0.200], [0.500, 0.500, 0.500], [0.500, 0.573, 0.728], [0.500, 0.427, 0.272], [0.500, 0.728, 0.573], [0.500, 0.272, 0.427], [0.000, 0.601, 0.945], [0.000, 0.399, 0.055], [0.000, 0.945, 0.601], [0.000, 0.055, 0.399], [0.000, 0.648, 0.352], [0.000, 0.352, 0.648], [0.000, 0.807, 0.193], [0.000, 0.193, 0.807], [0.000, 0.000, 0.000], [0.000, 0.801, 0.801], [0.000, 0.199, 0.199]]
}

---

# 12
{
  "formula": "LiCuP2",
  "functional": "GGA-PBE",
  "state": "optimized geometry",
  "final_energy_ev_per_atom": -4.176,
  "polymorph_energy_ev_per_atom": 0.196,
  "sg": "P6_3/mmc, No. 194",
  "dos_at_fermi_per_ev_fu": 0.50,
  "delta_e_f_ev_per_fu": 0.1,
  "lattice_angstrom": [[1.969, -3.410, 0.000], [1.969, 3.410, 0.000], [0.000, 0.000, 11.234]],
  "species": ["Li", "Li", "Cu", "Cu", "P", "P", "P", "P"],
  "frac_coords": [[0.000, 0.000, 0.250], [0.000, 0.000, 0.750], [0.667, 0.333, 0.250], [0.333, 0.667, 0.750], [0.667, 0.333, 0.652], [0.333, 0.667, 0.152], [0.333, 0.667, 0.348], [0.667, 0.333, 0.848]]
}

---

Question: Which formula does entry 1 have?
Answer: AcEr2OsO8

---

Question: What is the formula in the seventh record?
Answer: LiTh2ReN5